(1)
The following is a PBE calculation of Sr3LaBr after structural relaxation, from Alexandria.

a = 6.7966 Å, b = 6.7966 Å, c = 6.7966 Å
α = 90.00°, β = 90.00°, γ = 90.00°
With the nearest neighbours (Å) after each atom.
Positions (direct):
1 Sr 0.0000 0.0000 0.5000  2 La 3.40
2 Sr 0.0000 0.5000 0.0000  2 La 3.40
3 Sr 0.5000 0.0000 0.0000  2 La 3.40
4 La 0.0000 0.0000 0.0000  6 Sr 3.40
5 Br 0.5000 0.5000 0.5000  12 Sr 4.81

Calculated values
Its magnetization is 4.06 μB/f.u. The density of states at the Fermi level is 0.840 states/eV/atom. The value obtained for the uncorrected formation energy is 0.45 eV per atom. The calculation puts the total energy at -1.878 eV/atom.

---

(2)
The following is a PBE calculation of SrLa2Br after structural relaxation, from Alexandria.

a = 7.6090 Å, b = 7.6090 Å, c = 7.6090 Å
α = 152.00°, β = 136.42°, γ = 52.60°
With the nearest neighbours (Å) after each atom.
Positions (direct):
1 Sr 0.0000 0.0000 0.0000  4 Br 3.37, 2 Sr 3.68
2 La 0.2885 0.7885 0.5000  2 Br 3.42, 6 La 3.53-3.68
3 La 0.7115 0.2115 0.5000  2 Br 3.42, 6 La 3.53-3.68
4 Br 0.5000 0.5000 0.0000  4 Sr 3.37, 4 La 3.42, 2 Br 3.68

Calculated values
Its magnetization is 0.00 μB/f.u. The density of states at the Fermi level is 0.985 states/eV/atom. The value obtained for the uncorrected formation energy is -0.51 eV per atom. The calculation puts the total energy at -3.816 eV/atom.

---

(3)
The following is a PBE calculation of SrLa2Br after structural relaxation, from Alexandria.

a = 3.8378 Å, b = 6.7162 Å, c = 5.6380 Å
α = 90.00°, β = 92.16°, γ = 90.00°
With the nearest neighbours (Å) after each atom.
Positions (direct):
1 Sr 0.0000 0.0000 0.0000  4 Br 3.35-3.47
2 La 0.3175 0.5000 0.7544  2 La 3.06-3.24
3 La 0.6825 0.5000 0.2456  2 La 3.06-3.24
4 Br 0.5000 0.0000 0.5000  4 Sr 3.35-3.47, 4 La 3.73

Calculated values
Its magnetization is 0.00 μB/f.u. The density of states at the Fermi level is 1.215 states/eV/atom. The value obtained for the uncorrected formation energy is -0.38 eV per atom. The calculation puts the total energy at -3.679 eV/atom.

---

(4)
The following is a PBE calculation of SrLaBr2 after structural relaxation, from Alexandria.

a = 4.1589 Å, b = 4.1589 Å, c = 7.9458 Å
α = 90.00°, β = 90.00°, γ = 90.00°
With the nearest neighbours (Å) after each atom.
Positions (direct):
1 Sr 0.0000 0.0000 0.0000  4 Br 3.31
2 La 0.5000 0.5000 0.6090  5 Br 3.11-3.32
3 Br 0.0000 0.0000 0.4814  4 La 3.11
4 Br 0.5000 0.5000 0.1916  4 Sr 3.31, 1 La 3.32

Calculated values
Its magnetization is 1.00 μB/f.u. The density of states at the Fermi level is 0.516 states/eV/atom. The value obtained for the uncorrected formation energy is -1.33 eV per atom. The calculation puts the total energy at -3.814 eV/atom.